(1)
Entry from Alexandria via LeMat-Bulk: a relaxed V2PdSe3 crystal (GGA-PBE).

Summary:
**Calculated total energy**: -6.081 eV per atom
**Total magnetization**: 4.085 μB/cell
**ΔE to the lowest computed polymorph**: 21 meV/atom

Cell: 9.690 9.690 6.483 Å, 96.80 96.80 25.02°
Element x y z (fractional)
V 0.052 0.052 0.138
V 0.285 0.285 0.638
V 0.715 0.715 0.362
V 0.948 0.948 0.862
Pd 0.372 0.372 0.030
Pd 0.628 0.628 0.970
Se 0.070 0.070 0.783
Se 0.266 0.266 0.255
Se 0.416 0.416 0.676
Se 0.584 0.584 0.324
Se 0.734 0.734 0.745
Se 0.930 0.930 0.217



(2)
Entry from Alexandria via LeMat-Bulk: a relaxed RbLa3Mo crystal (GGA-PBE).

Summary:
**ΔE_f**: 408 meV/atom
**Calculated total energy**: -4.908 eV per atom
**Total magnetization**: 0.000 μB/cell
**ΔE to the lowest computed polymorph**: 0 meV/atom

Cell: 5.769 5.769 5.769 Å, 90.00 90.00 90.00°
Element x y z (fractional)
Rb 0.000 0.000 0.000
La 0.000 0.500 0.500
La 0.500 0.000 0.500
La 0.500 0.500 0.000
Mo 0.500 0.500 0.500



(3)
Entry from Alexandria via LeMat-Bulk: a relaxed AcInTe2 crystal (GGA-PBE).

Summary:
**Calculated total energy**: -4.268 eV per atom
**Total magnetization**: 0.000 μB/cell
**ΔE to the lowest computed polymorph**: 67 meV/atom

Cell: 5.724 5.724 5.724 Å, 60.00 60.00 60.00°
Element x y z (fractional)
Ac 0.000 0.000 0.000
In 0.500 0.500 0.500
Te 0.250 0.250 0.250
Te 0.750 0.750 0.750



(4)
Entry from Alexandria via LeMat-Bulk: a relaxed KCrTe2 crystal (GGA-PBE).

Summary:
**Calculated total energy**: -3.907 eV per atom
**Total magnetization**: 3.788 μB/cell

Cell: 5.494 5.494 5.494 Å, 60.00 60.00 60.00°
Element x y z (fractional)
K 0.000 0.000 0.000
Cr 0.750 0.750 0.750
Te 0.250 0.250 0.250
Te 0.500 0.500 0.500



(5)
Entry from Alexandria via LeMat-Bulk: a relaxed InCoH crystal (GGA-PBE).

Summary:
**Calculated total energy**: -4.283 eV per atom
**Total magnetization**: 0.001 μB/cell
**ΔE to the lowest computed polymorph**: 11 meV/atom

Cell: 3.068 3.068 4.156 Å, 90.00 90.00 120.00°
Element x y z (fractional)
In 0.000 0.000 0.000
Co 0.667 0.333 0.500
H 0.333 0.667 0.500



(6)
Entry from Alexandria via LeMat-Bulk: a relaxed RbTl3Si crystal (GGA-PBE).

Summary:
**Calculated total energy**: -1.484 eV per atom
**Total magnetization**: 0.000 μB/cell
**ΔE to the lowest computed polymorph**: 1009 meV/atom

Cell: 6.199 6.199 6.199 Å, 90.00 90.00 90.00°
Element x y z (fractional)
Rb 0.000 0.000 0.000
Tl 0.000 0.000 0.500
Tl 0.000 0.500 0.000
Tl 0.500 0.000 0.000
Si 0.500 0.500 0.500



(7)
Entry from Alexandria via LeMat-Bulk: a relaxed P2HF8 crystal (GGA-PBE).

Summary:
**Calculated total energy**: -4.680 eV per atom
**Total magnetization**: 1.009 μB/cell

Cell: 6.253 6.253 4.845 Å, 102.51 102.51 74.75°
Element x y z (fractional)
P 0.240 0.240 0.068
P 0.760 0.760 0.932
H 0.000 0.000 0.500
F 0.010 0.688 0.868
F 0.111 0.111 0.652
F 0.312 0.990 0.132
F 0.356 0.356 0.371
F 0.644 0.644 0.629
F 0.688 0.010 0.868
F 0.889 0.889 0.348
F 0.990 0.312 0.132



(8)
Entry from Alexandria via LeMat-Bulk: a relaxed RbSi3P crystal (GGA-PBE).

Summary:
**Calculated total energy**: -1.916 eV per atom
**Total magnetization**: 0.001 μB/cell
**ΔE to the lowest computed polymorph**: 1842 meV/atom

Cell: 5.460 5.460 5.460 Å, 90.00 90.00 90.00°
Element x y z (fractional)
Rb 0.000 0.000 0.000
Si 0.000 0.000 0.500
Si 0.000 0.500 0.000
Si 0.500 0.000 0.000
P 0.500 0.500 0.500



Please write out number 7 again, unchanged.
Entry from Alexandria via LeMat-Bulk: a relaxed P2HF8 crystal (GGA-PBE).

Summary:
**Calculated total energy**: -4.680 eV per atom
**Total magnetization**: 1.009 μB/cell

Cell: 6.253 6.253 4.845 Å, 102.51 102.51 74.75°
Element x y z (fractional)
P 0.240 0.240 0.068
P 0.760 0.760 0.932
H 0.000 0.000 0.500
F 0.010 0.688 0.868
F 0.111 0.111 0.652
F 0.312 0.990 0.132
F 0.356 0.356 0.371
F 0.644 0.644 0.629
F 0.688 0.010 0.868
F 0.889 0.889 0.348
F 0.990 0.312 0.132